(1)
Density functional theory data (PBE) for a relaxed structure of ZrAu2Br.

Lattice parameters (Å, degrees): 5.5005 5.5005 3.3195 90.03 90.03 121.57
Closest atoms and distances in Å follow each position.
Fractional positions:
Br  0.5000  0.0000  0.5000  2 Zr 2.68
Zr  0.0000  0.5000  0.5000  2 Br 2.68
Au  0.5000  0.5000  0.0000  2 Au 2.68
Au  0.0000  0.0000  0.0000  2 Au 2.68

Computed properties:
Uncorrected formation energy: -0.157 eV per atom
Polymorph energy (0 for the lowest one): 298 meV/atom
Mass density: 10965 kg/m³



(2)
Density functional theory data (PBE) for a relaxed structure of Ho4HgRuAu2.

Lattice parameters (Å, degrees): 5.0549 5.0549 8.6989 73.11 73.11 60.00
Closest atoms and distances in Å follow each position.
Fractional positions:
Ho  0.3832  0.3832  0.8506  1 Ru 2.87, 4 Au 3.00-3.15, 3 Hg 3.17
Ho  0.1316  0.1316  0.6053  4 Au 3.03-3.20, 3 Ru 3.04, 1 Hg 3.23, 3 Ho 3.39
Hg  0.0000  0.0000  0.0000  8 Ho 3.17-3.23, 6 Au 3.50
Ho  0.8684  0.8684  0.3947  4 Au 3.03-3.20, 3 Ru 3.04, 1 Hg 3.23, 3 Ho 3.39
Ho  0.6168  0.6168  0.1494  1 Ru 2.87, 4 Au 3.00-3.15, 3 Hg 3.17
Au  0.2548  0.2548  0.2355  8 Ho 3.00-3.20
Ru  0.5000  0.5000  0.5000  8 Ho 2.87-3.04
Au  0.7452  0.7452  0.7645  8 Ho 3.00-3.20

Computed properties:
E_form: -654 meV/atom
Mass density: 12411 kg/m³